MoHO4: relaxed, GGA+U.

Summary:
- Energy: -6.07 eV/atom

a = 7.045 Å, b = 7.045 Å, c = 5.296 Å
α = 98.54°, β = 98.54°, γ = 136.78°
Atoms (fractional coordinates):
Mo (0.087, 0.913, 0.750)
Mo (0.913, 0.087, 0.250)
H (0.329, 0.671, 0.250)
H (0.671, 0.329, 0.750)
O (0.096, 0.441, 0.249)
O (0.151, 0.230, 0.621)
O (0.230, 0.151, 0.121)
O (0.441, 0.096, 0.749)
O (0.559, 0.904, 0.251)
O (0.770, 0.849, 0.879)
O (0.849, 0.770, 0.379)
O (0.904, 0.559, 0.751)